No. 1
Pu2TlSb4, relaxed, DFT PBE-GGA; volume = 203 Å³ per cell; ΔE_f (raw) = -0.349 eV/atom; calculated total energy = -7.137 eV per atom; crystal system = tetragonal; DOS(E_F) = 21.9 states/eV/cell; space-group type = P-4m2 (115)
1.0
4.3612 0.0000 0.0000
0.0000 4.3612 0.0000
0.0000 0.0000 10.6937
Pu Tl Sb
2 1 4
direct
0.5000 0.0000 0.7273
0.0000 0.5000 0.2727
0.5000 0.5000 0.0000
0.5000 0.0000 0.2035
0.0000 0.5000 0.7965
0.5000 0.5000 0.5000
0.0000 0.0000 0.5000

No. 2
PuTl2Sb, relaxed, DFT PBE-GGA; volume = 110 Å³ per cell; ΔE_f (raw) = -0.230 eV/atom; calculated total energy = -6.027 eV per atom; crystal system = tetragonal; DOS(E_F) = 10.8 states/eV/cell; distance to the lowest polymorph of the same formula = 0 meV/atom; space-group type = P4/mmm (123)
1.0
5.1349 0.0000 0.0000
0.0000 4.6210 0.0000
0.0000 0.0000 4.6210
Sb Tl Pu
1 2 1
direct
0.5000 0.5000 0.5000
0.0000 0.0000 0.5000
0.0000 0.5000 0.0000
0.5000 0.0000 0.0000

No. 3
TmPuTlSb, relaxed, DFT PBE-GGA; volume = 107 Å³ per cell; ΔE_f (raw) = -0.346 eV/atom; calculated total energy = -6.669 eV per atom; crystal system = cubic; DOS(E_F) = 11.6 states/eV/cell; space-group type = F-43m (216)
1.0
5.3313 0.0000 0.0000
2.6657 4.6171 0.0000
2.6657 1.5390 4.3530
Sb Tl Tm Pu
1 1 1 1
direct
0.5000 0.5000 0.5000
0.0000 0.0000 0.0000
0.2500 0.2500 0.2500
0.7500 0.7500 0.7500

No. 4
Tm2PuSb3, relaxed, DFT PBE-GGA; volume = 177 Å³ per cell; ΔE_f (raw) = -0.901 eV/atom; calculated total energy = -6.841 eV per atom; crystal system = orthorhombic; DOS(E_F) = 14.9 states/eV/cell; space-group type = Immm (71)
1.0
-1.4351 3.8323 1.5622
-5.1488 -0.5562 -3.3656
0.3887 -4.7477 5.8570
Tm Pu Sb
2 1 3
direct
0.1662 0.6659 0.3318
0.8338 0.3341 0.6682
0.5000 0.0000 0.0000
0.5000 0.5000 0.0000
0.1688 0.1689 0.3379
0.8312 0.8311 0.6621

No. 5
TmPuSb, relaxed, DFT PBE-GGA; volume = 160 Å³ per cell; ΔE_f (raw) = -0.669 eV/atom; calculated total energy = -8.311 eV per atom; crystal system = tetragonal; DOS(E_F) = 11.2 states/eV/cell; distance to the lowest polymorph of the same formula = 0 meV/atom; space-group type = P4/nmm (129)
1.0
4.2915 0.0000 -0.0097
0.0001 4.2915 0.0097
0.0227 -0.0227 8.6619
Tm Pu Sb
2 2 2
direct
0.2503 0.7497 0.6459
0.7497 0.2503 0.3541
0.7503 0.7503 0.0000
0.2497 0.2497 0.0000
0.7503 0.2497 0.7092
0.2497 0.7503 0.2908

No. 6
TmPu3Sb4, relaxed, DFT PBE-GGA; volume = 241 Å³ per cell; ΔE_f (raw) = -0.699 eV/atom; calculated total energy = -8.694 eV per atom; crystal system = cubic; DOS(E_F) = 37.0 states/eV/cell; distance to the lowest polymorph of the same formula = 0 meV/atom; space-group type = Pm-3m (221)
1.0
-2.1578 0.2475 -5.8325
-5.4828 -2.2210 1.9342
-2.0044 5.8087 0.9881
Sb Tm Pu
4 1 3
direct
0.5000 0.0000 0.0000
0.0000 0.5000 0.0000
0.0000 0.0000 0.5000
0.5000 0.5000 0.5000
0.0000 0.0000 0.0000
0.0000 0.5000 0.5000
0.5000 0.0000 0.5000
0.5000 0.5000 0.0000

No. 7
TmPuSb, relaxed, DFT PBE-GGA; volume = 80 Å³ per cell; ΔE_f (raw) = -0.431 eV/atom; calculated total energy = -8.073 eV per atom; crystal system = tetragonal; DOS(E_F) = 7.7 states/eV/cell; distance to the lowest polymorph of the same formula = 238 meV/atom; space-group type = I4mm (107)
1.0
3.9984 0.0000 0.0000
0.0000 3.9984 0.0000
-1.9992 -1.9992 5.0043
Sb Tm Pu
1 1 1
direct
0.2776 0.2776 0.5552
0.6313 0.6313 0.2627
0.9411 0.9411 0.8821

No. 8
Tm5Pu2Sb4, relaxed, DFT PBE-GGA; volume = 316 Å³ per cell; ΔE_f (raw) = -0.609 eV/atom; calculated total energy = -6.746 eV per atom; crystal system = monoclinic; DOS(E_F) = 19.9 states/eV/cell; space-group type = C2/m (12)
1.0
4.4350 0.0000 0.0000
0.0000 7.8612 0.8567
-2.2175 0.0896 9.0784
Tm Pu Sb
5 2 4
direct
0.1684 0.1663 0.3368
0.8316 0.8337 0.6632
0.7982 0.3593 0.5964
0.5000 0.0000 0.0000
0.2018 0.6407 0.4036
0.4186 0.5180 0.8373
0.5814 0.4820 0.1627
0.6642 0.9008 0.3284
0.0004 0.7310 0.0009
0.3358 0.0992 0.6716
0.9996 0.2690 0.9991

No. 9
TmPu3Sb4, relaxed, DFT PBE-GGA; volume = 241 Å³ per cell; ΔE_f (raw) = -0.685 eV/atom; calculated total energy = -8.680 eV per atom; crystal system = orthorhombic; DOS(E_F) = 44.0 states/eV/cell; distance to the lowest polymorph of the same formula = 14 meV/atom; space-group type = Cmmm (65)
1.0
4.4120 0.0000 0.0000
0.0000 7.6154 -0.0724
0.0000 -2.4696 7.2041
Tm Pu Sb
1 3 4
direct
0.5000 0.0000 0.0000
0.0000 0.0000 0.5000
0.5000 0.5000 0.5000
0.0000 0.5000 0.0000
0.0000 0.2465 0.2465
0.5000 0.7522 0.2478
0.0000 0.7535 0.7535
0.5000 0.2478 0.7522

No. 10
TmPuSb, relaxed, DFT PBE-GGA; volume = 166 Å³ per cell; ΔE_f (raw) = -0.403 eV/atom; calculated total energy = -8.045 eV per atom; crystal system = orthorhombic; DOS(E_F) = 15.3 states/eV/cell; distance to the lowest polymorph of the same formula = 266 meV/atom; space-group type = Cmcm (63)
1.0
3.9856 0.0000 0.0000
0.0000 3.9369 0.0000
0.0000 1.9685 10.5648
Sb Pu Tm
2 2 2
direct
0.2500 0.1363 0.7274
0.7500 0.8637 0.2726
0.2500 0.4432 0.1137
0.7500 0.5568 0.8863
0.7500 0.7033 0.5933
0.2500 0.2967 0.4067

No. 11
Tm5PuSb6, relaxed, DFT PBE-GGA; volume = 350 Å³ per cell; ΔE_f (raw) = -0.980 eV/atom; calculated total energy = -6.099 eV per atom; crystal system = monoclinic; DOS(E_F) = 17.2 states/eV/cell; space-group type = C2/m (12)
1.0
-1.3130 -7.1809 -1.8965
4.1090 -4.5535 4.3940
-2.8375 -2.5231 6.5165
Tm Pu Sb
5 1 6
direct
0.5000 0.1652 0.6696
0.0000 0.3329 0.3341
0.5000 0.5000 0.0000
0.0000 0.6671 0.6659
0.5000 0.8348 0.3304
0.0000 0.0000 0.0000
0.7473 0.0843 0.3361
0.2527 0.5795 0.3361
0.2506 0.2529 0.0000
0.7494 0.7471 0.0000
0.7473 0.4205 0.6639
0.2527 0.9157 0.6639

No. 12
TmPuSb, relaxed, DFT PBE-GGA; volume = 83 Å³ per cell; ΔE_f (raw) = -0.287 eV/atom; calculated total energy = -7.929 eV per atom; crystal system = trigonal; DOS(E_F) = 7.9 states/eV/cell; distance to the lowest polymorph of the same formula = 382 meV/atom; space-group type = P3m1 (156)
1.0
3.6755 0.0000 0.0000
0.0000 5.1185 0.0000
0.0000 -2.5592 4.4327
Sb Tm Pu
1 1 1
direct
0.0623 0.0000 0.0000
0.2444 0.3333 0.6667
0.6932 0.6667 0.3333